(1)
NaInSn3 | PBE-GGA | relaxed

Lattice parameters (Å, degrees): 5.4644 5.4644 5.4644 90.00 90.00 90.00
Space group Pm-3m (No. 221)
Symmetry-distinct sites (fractional):
Na 0.0000 0.0000 0.0000 [1 per cell]
In 0.5000 0.5000 0.5000 [1 per cell]
Sn 0.0000 0.0000 0.5000 [3 per cell]

Its energy above the most stable polymorph in this dataset is 273 kJ/mol of formula units. Its formation energy from the elements is 0.55 eV/atom. As for the calculated volume: 163.2 Å³/cell.

***

(2)
NaIn2Sn2 | PBE-GGA | relaxed

Lattice parameters (Å, degrees): 15.7507 5.3564 3.2127 90.00 92.76 90.00
Space group C2/m (No. 12)
Symmetry-distinct sites (fractional):
Na 0.0000 0.0000 0.0000 [2 per cell]
In 0.2013 0.0000 0.6837 [4 per cell]
Sn 0.0999 0.5000 0.5412 [4 per cell]

Its energy above the most stable polymorph in this dataset is 0 kJ/mol of formula units. Its formation energy from the elements is -0.07 eV/atom. As for the calculated volume: 270.7 Å³/cell.

***

(3)
NaIn6Sn | PBE-GGA | relaxed

Lattice parameters (Å, degrees): 5.5987 6.6547 11.5440 90.00 90.00 90.00
Space group Amm2 (No. 38)
Symmetry-distinct sites (fractional):
Na 0.0000 0.0000 0.0000 [2 per cell]
In 0.0000 0.0000 0.4968 [2 per cell]
In 0.0000 0.2479 0.2494 [4 per cell]
In 0.5000 0.0000 0.6657 [2 per cell]
In 0.5000 0.2472 0.4160 [4 per cell]
Sn 0.5000 0.0000 0.1735 [2 per cell]

Its energy above the most stable polymorph in this dataset is 0 kJ/mol of formula units. Its formation energy from the elements is -0.04 eV/atom. As for the calculated volume: 430.1 Å³/cell.

***

Q: formation energy from the elements of number 2 (NaIn2Sn2)?
A: -0.07 eV/atom

***

Q: Look up the calculated volume of the first one.
A: 163.2 Å³/cell

***

Q: Which of these has the highest calculated volume?
A: NaIn6Sn

***

Q: Which value of calculated volume does entry 1 give?
A: 163.2 Å³/cell